No. 1
VASP calculation (meta-GGA SCAN) on Sm2Te4O11 at its PBEsol-relaxed geometry.

The density of states at the Fermi level comes out at 0.000 states/eV per cell. Its total magnetization is 0.00 μB/f.u. Its space group is C2/c. Its uncorrected formation energy is -2.014 eV/atom. The calculation puts the volume at 496 Å³ per cell.

Cell: 5.158 6.727 15.793 Å, 80.54 80.60 67.46°
Atoms (fractional coordinates):
Sm 0.636 0.200 0.037
Sm 0.873 0.300 0.463
Sm 0.364 0.800 0.963
Sm 0.127 0.700 0.537
Te 0.342 0.119 0.630
Te 0.091 0.381 0.870
Te 0.658 0.881 0.370
Te 0.909 0.619 0.130
Te 0.651 0.545 0.703
Te 0.900 0.955 0.797
Te 0.349 0.455 0.297
Te 0.100 0.045 0.203
O 0.637 0.250 0.750
O 0.363 0.750 0.250
O 0.455 0.315 0.547
O 0.316 0.185 0.953
O 0.545 0.685 0.453
O 0.684 0.815 0.047
O 0.592 0.868 0.828
O 0.288 0.632 0.672
O 0.408 0.132 0.172
O 0.712 0.368 0.328
O 0.685 0.867 0.631
O 0.182 0.633 0.869
O 0.061 0.949 0.099
O 0.109 0.551 0.401
O 0.939 0.051 0.901
O 0.891 0.449 0.599
O 0.834 0.971 0.445
O 0.250 0.529 0.055
O 0.166 0.029 0.555
O 0.750 0.471 0.945
O 0.818 0.367 0.131
O 0.315 0.133 0.369

***

No. 2
VASP calculation (meta-GGA SCAN) on Sm2TeO6 at its PBEsol-relaxed geometry.

The density of states at the Fermi level comes out at 0.000 states/eV per cell. Its total magnetization is 0.00 μB/f.u. Its space group is P4_2/mnm. Its uncorrected formation energy is -2.664 eV/atom. The calculation puts the volume at 259 Å³ per cell.

Cell: 5.031 5.031 10.227 Å, 90.00 90.00 90.00°
Atoms (fractional coordinates):
Sm 0.500 0.500 0.334
Sm 0.500 0.500 0.666
Sm 0.000 0.000 0.166
Sm 0.000 0.000 0.834
Te 0.500 0.500 0.000
Te 0.000 0.000 0.500
O 0.681 0.681 0.143
O 0.681 0.681 0.857
O 0.727 0.727 0.500
O 0.773 0.227 0.000
O 0.819 0.181 0.357
O 0.819 0.181 0.643
O 0.181 0.819 0.357
O 0.181 0.819 0.643
O 0.227 0.773 0.000
O 0.273 0.273 0.500
O 0.319 0.319 0.143
O 0.319 0.319 0.857

***

- volume of number 2 (Sm2TeO6)?
  259 Å³ per cell